# 1
# NdLuAs

An optimized crystal structure of NdLuAs (PBE, Alexandria via LeMat-Bulk).

Geometry as CIF:
```
data_NdLuAs
_cell_length_a 4.715
_cell_length_b 4.715
_cell_length_c 4.286
_cell_angle_alpha 90.00
_cell_angle_beta 90.00
_cell_angle_gamma 120.00
_symmetry_space_group_name_H-M 'P 1'
_symmetry_Int_Tables_number 1
loop_
_symmetry_equiv_pos_as_xyz
'x,y,z'
loop_
_atom_site_label
_atom_site_fract_x
_atom_site_fract_y
_atom_site_fract_z
Nd1 0.000 0.000 0.000
Lu1 0.667 0.333 0.500
As1 0.333 0.667 0.365
```

Results
- raw total energy (hartree per atom) = -0.192
- total magnetic moment (Bohr magnetons per cell) = 0.00

# 2
# LuNi4As2

An optimized crystal structure of LuNi4As2 (PBE, Alexandria via LeMat-Bulk).

Geometry as CIF:
```
data_LuNi4As2
_cell_length_a 7.186
_cell_length_b 7.186
_cell_length_c 3.773
_cell_angle_alpha 90.00
_cell_angle_beta 90.00
_cell_angle_gamma 90.00
_symmetry_space_group_name_H-M 'P 1'
_symmetry_Int_Tables_number 1
loop_
_symmetry_equiv_pos_as_xyz
'x,y,z'
loop_
_atom_site_label
_atom_site_fract_x
_atom_site_fract_y
_atom_site_fract_z
Lu1 0.000 0.000 0.000
Lu2 0.500 0.500 0.500
Ni1 0.089 0.346 0.500
Ni2 0.154 0.589 0.000
Ni3 0.346 0.089 0.500
Ni4 0.411 0.846 0.000
Ni5 0.589 0.154 0.000
Ni6 0.654 0.911 0.500
Ni7 0.846 0.411 0.000
Ni8 0.911 0.654 0.500
As1 0.218 0.782 0.500
As2 0.282 0.282 0.000
As3 0.718 0.718 0.000
As4 0.782 0.218 0.500
```

Results
- raw total energy (hartree per atom) = -0.217
- total magnetic moment (Bohr magnetons per cell) = 0.00

# 3
# LuNi4As

An optimized crystal structure of LuNi4As (PBE, Alexandria via LeMat-Bulk).

Geometry as CIF:
```
data_LuNi4As
_cell_length_a 4.878
_cell_length_b 4.878
_cell_length_c 4.878
_cell_angle_alpha 60.00
_cell_angle_beta 60.00
_cell_angle_gamma 60.00
_symmetry_space_group_name_H-M 'P 1'
_symmetry_Int_Tables_number 1
loop_
_symmetry_equiv_pos_as_xyz
'x,y,z'
loop_
_atom_site_label
_atom_site_fract_x
_atom_site_fract_y
_atom_site_fract_z
Lu1 0.000 0.000 0.000
Ni1 0.125 0.625 0.625
Ni2 0.625 0.125 0.625
Ni3 0.625 0.625 0.125
Ni4 0.625 0.625 0.625
As1 0.250 0.250 0.250
```

Results
- raw total energy (hartree per atom) = -0.210
- total magnetic moment (Bohr magnetons per cell) = 0.00

Q: Which value of raw total energy does entry 2 give?
A: -0.217 hartree per atom